Entry 1:
# PBE AlIn2Rh, relaxed
# Symmetry: F-43m
# Formation energy, meV per atom: 56.3
# DFT total energy, eV per cell: -16.35
# Mass density, g/cm³: 7.84
# Crystal system: cubic
data_AlIn2Rh
_space_group_name_H-M_alt 'P 1'
_space_group_IT_number 1
_cell_length_a 4.7568
_cell_length_b 4.7568
_cell_length_c 4.7568
_cell_angle_alpha 60.00
_cell_angle_beta 60.00
_cell_angle_gamma 60.00
loop_
_space_group_symop_operation_xyz
'x,y,z'
loop_
_atom_site_label
_atom_site_fract_x
_atom_site_fract_y
_atom_site_fract_z
Al1 0.5000 0.5000 0.5000
In1 0.2500 0.2500 0.2500
In2 0.0000 0.0000 0.0000
Rh1 0.7500 0.7500 0.7500

Entry 2:
# PBE Al2InRh, relaxed
# Symmetry: R3m
# Formation energy, meV per atom: -201.2
# DFT total energy, eV per cell: -18.38
# Mass density, g/cm³: 6.40
# Crystal system: trigonal
data_Al2InRh
_space_group_name_H-M_alt 'P 1'
_space_group_IT_number 1
_cell_length_a 8.8361
_cell_length_b 8.8361
_cell_length_c 8.8361
_cell_angle_alpha 19.98
_cell_angle_beta 19.98
_cell_angle_gamma 19.98
loop_
_space_group_symop_operation_xyz
'x,y,z'
loop_
_atom_site_label
_atom_site_fract_x
_atom_site_fract_y
_atom_site_fract_z
Al1 0.0081 0.0081 0.0081
Al2 0.2555 0.2555 0.2555
Rh1 0.7430 0.7431 0.7431
In1 0.4933 0.4933 0.4933

Entry 3:
# PBE AlInRuRh, relaxed
# Symmetry: F-43m
# Formation energy, meV per atom: -472.9
# DFT total energy, eV per cell: -25.00
# Mass density, g/cm³: 9.40
# Crystal system: cubic
data_AlInRuRh
_space_group_name_H-M_alt 'P 1'
_space_group_IT_number 1
_cell_length_a 4.4213
_cell_length_b 4.4213
_cell_length_c 4.4213
_cell_angle_alpha 60.00
_cell_angle_beta 60.00
_cell_angle_gamma 60.00
loop_
_space_group_symop_operation_xyz
'x,y,z'
loop_
_atom_site_label
_atom_site_fract_x
_atom_site_fract_y
_atom_site_fract_z
Ru1 0.2500 0.2500 0.2500
Al1 0.5000 0.5000 0.5000
Rh1 0.7500 0.7500 0.7500
In1 0.0000 0.0000 0.0000

Entry 4:
# PBE AlIn2RuRh, relaxed
# Symmetry: P4/mmm
# Formation energy, meV per atom: 992.6
# DFT total energy, eV per cell: -20.88
# Mass density, g/cm³: 7.10
# Crystal system: tetragonal
data_AlIn2RuRh
_space_group_name_H-M_alt 'P 1'
_space_group_IT_number 1
_cell_length_a 4.9732
_cell_length_b 4.3564
_cell_length_c 4.9732
_cell_angle_alpha 90.00
_cell_angle_beta 90.00
_cell_angle_gamma 90.00
loop_
_space_group_symop_operation_xyz
'x,y,z'
loop_
_atom_site_label
_atom_site_fract_x
_atom_site_fract_y
_atom_site_fract_z
In1 0.5000 0.0000 0.0000
In2 0.0000 0.0000 0.5000
Rh1 0.5000 0.5000 0.5000
Al1 0.0000 0.0000 0.0000
Ru1 0.0000 0.5000 0.0000

Entry 5:
# PBE AlIn2SbRh, relaxed
# Symmetry: P4/mmm
# DFT total energy, eV per cell: -18.51
# Mass density, g/cm³: 6.28
# Crystal system: tetragonal
# Energy relative to the elements, uncorrected, meV per atom: 437
data_AlIn2SbRh
_space_group_name_H-M_alt 'P 1'
_space_group_IT_number 1
_cell_length_a 5.2588
_cell_length_b 5.2588
_cell_length_c 4.6012
_cell_angle_alpha 90.00
_cell_angle_beta 90.00
_cell_angle_gamma 90.00
loop_
_space_group_symop_operation_xyz
'x,y,z'
loop_
_atom_site_label
_atom_site_fract_x
_atom_site_fract_y
_atom_site_fract_z
In1 0.5000 0.0000 0.0000
In2 0.0000 0.5000 0.0000
Rh1 0.0000 0.0000 0.5000
Al1 0.0000 0.0000 0.0000
Sb1 0.5000 0.5000 0.5000

Entry 6:
# PBE Sc5AlIn2Rh2, relaxed
# Symmetry: P4/mbm
# Formation energy, meV per atom: -573.9
# DFT total energy, eV per cell: -122.64
# Mass density, g/cm³: 5.42
# Crystal system: tetragonal
data_Sc5AlIn2Rh2
_space_group_name_H-M_alt 'P 1'
_space_group_IT_number 1
_cell_length_a 3.3643
_cell_length_b 11.1925
_cell_length_c 11.1925
_cell_angle_alpha 90.00
_cell_angle_beta 90.00
_cell_angle_gamma 90.00
loop_
_space_group_symop_operation_xyz
'x,y,z'
loop_
_atom_site_label
_atom_site_fract_x
_atom_site_fract_y
_atom_site_fract_z
Rh1 0.0000 0.1314 0.6314
Rh2 0.0000 0.8686 0.3686
Rh3 0.0000 0.3686 0.1314
Rh4 0.0000 0.6314 0.8686
Sc1 0.5000 0.5000 0.0000
Sc2 0.5000 0.4259 0.2992
Sc3 0.5000 0.0741 0.7992
Sc4 0.5000 0.2008 0.0741
Sc5 0.5000 0.7008 0.4259
Sc6 0.5000 0.0000 0.5000
Sc7 0.5000 0.2992 0.5741
Sc8 0.5000 0.7992 0.9259
Sc9 0.5000 0.5741 0.7008
Sc10 0.5000 0.9259 0.2008
In1 0.0000 0.8276 0.6724
In2 0.0000 0.3276 0.8276
In3 0.0000 0.1724 0.3276
In4 0.0000 0.6724 0.1724
Al1 0.0000 0.0000 0.0000
Al2 0.0000 0.5000 0.5000

Entry 7:
# PBE AlIn2Si2Rh5, relaxed
# Symmetry: P4/mbm
# DFT total energy, eV per cell: -124.61
# Mass density, g/cm³: 8.88
# Crystal system: tetragonal
# Energy relative to the elements, uncorrected, meV per atom: -548
data_AlIn2Si2Rh5
_space_group_name_H-M_alt 'P 1'
_space_group_IT_number 1
_cell_length_a 3.2912
_cell_length_b 9.6946
_cell_length_c 9.6946
_cell_angle_alpha 90.00
_cell_angle_beta 90.00
_cell_angle_gamma 90.00
loop_
_space_group_symop_operation_xyz
'x,y,z'
loop_
_atom_site_label
_atom_site_fract_x
_atom_site_fract_y
_atom_site_fract_z
Rh1 0.5000 0.4181 0.2999
Rh2 0.5000 0.9181 0.2001
Rh3 0.5000 0.7999 0.9181
Rh4 0.5000 0.0000 0.5000
Rh5 0.5000 0.2001 0.0819
Rh6 0.5000 0.2999 0.5819
Rh7 0.5000 0.5819 0.7001
Rh8 0.5000 0.5000 0.0000
Rh9 0.5000 0.7001 0.4181
Rh10 0.5000 0.0819 0.7999
Si1 0.0000 0.1302 0.6302
Si2 0.0000 0.8698 0.3698
Si3 0.0000 0.6302 0.8698
Si4 0.0000 0.3698 0.1302
Al1 0.0000 0.5000 0.5000
Al2 0.0000 0.0000 0.0000
In1 0.0000 0.1708 0.3292
In2 0.0000 0.3292 0.8292
In3 0.0000 0.6708 0.1708
In4 0.0000 0.8292 0.6708

Entry 8:
# PBE Tb2Al2InRh5, relaxed
# Symmetry: P4/mbm
# Formation energy, meV per atom: -835.4
# DFT total energy, eV per cell: -129.19
# Mass density, g/cm³: 9.53
# Crystal system: tetragonal
data_Tb2Al2InRh5
_space_group_name_H-M_alt 'P 1'
_space_group_IT_number 1
_cell_length_a 3.5136
_cell_length_b 9.9657
_cell_length_c 9.9657
_cell_angle_alpha 90.00
_cell_angle_beta 90.00
_cell_angle_gamma 90.00
loop_
_space_group_symop_operation_xyz
'x,y,z'
loop_
_atom_site_label
_atom_site_fract_x
_atom_site_fract_y
_atom_site_fract_z
Rh1 0.5000 0.9316 0.2107
Rh2 0.5000 0.5000 0.0000
Rh3 0.5000 0.5684 0.7107
Rh4 0.5000 0.4316 0.2893
Rh5 0.5000 0.0000 0.5000
Rh6 0.5000 0.0684 0.7893
Rh7 0.5000 0.2107 0.0684
Rh8 0.5000 0.7107 0.4316
Rh9 0.5000 0.7893 0.9316
Rh10 0.5000 0.2893 0.5684
Tb1 0.0000 0.3239 0.8239
Tb2 0.0000 0.1761 0.3239
Tb3 0.0000 0.8239 0.6761
Tb4 0.0000 0.6761 0.1761
Al1 0.0000 0.6216 0.8784
Al2 0.0000 0.3784 0.1216
Al3 0.0000 0.1216 0.6216
Al4 0.0000 0.8784 0.3784
In1 0.0000 0.5000 0.5000
In2 0.0000 0.0000 0.0000

Entry 9:
# PBE Th2Al2InRh5, relaxed
# Symmetry: P4/mbm
# Formation energy, meV per atom: -806.4
# DFT total energy, eV per cell: -139.77
# Mass density, g/cm³: 10.38
# Crystal system: tetragonal
data_Th2Al2InRh5
_space_group_name_H-M_alt 'P 1'
_space_group_IT_number 1
_cell_length_a 3.6638
_cell_length_b 10.0098
_cell_length_c 10.0098
_cell_angle_alpha 90.00
_cell_angle_beta 90.00
_cell_angle_gamma 90.00
loop_
_space_group_symop_operation_xyz
'x,y,z'
loop_
_atom_site_label
_atom_site_fract_x
_atom_site_fract_y
_atom_site_fract_z
Th1 0.0000 0.6803 0.1803
Th2 0.0000 0.8197 0.6803
Th3 0.0000 0.3197 0.8197
Th4 0.0000 0.1803 0.3197
Rh1 0.5000 0.7844 0.9290
Rh2 0.5000 0.5000 0.0000
Rh3 0.5000 0.0000 0.5000
Rh4 0.5000 0.0710 0.7844
Rh5 0.5000 0.7156 0.4290
Rh6 0.5000 0.5710 0.7156
Rh7 0.5000 0.2156 0.0710
Rh8 0.5000 0.4290 0.2844
Rh9 0.5000 0.9290 0.2156
Rh10 0.5000 0.2844 0.5710
Al1 0.0000 0.1167 0.6167
Al2 0.0000 0.6167 0.8833
Al3 0.0000 0.3833 0.1167
Al4 0.0000 0.8833 0.3833
In1 0.0000 0.5000 0.5000
In2 0.0000 0.0000 0.0000

Entry 10:
# PBE TiAlIn2Rh, relaxed
# Symmetry: P4/mmm
# Formation energy, meV per atom: 301.1
# DFT total energy, eV per cell: -22.96
# Mass density, g/cm³: 5.85
# Crystal system: tetragonal
data_TiAlIn2Rh
_space_group_name_H-M_alt 'P 1'
_space_group_IT_number 1
_cell_length_a 5.0272
_cell_length_b 4.5791
_cell_length_c 5.0272
_cell_angle_alpha 90.00
_cell_angle_beta 90.00
_cell_angle_gamma 90.00
loop_
_space_group_symop_operation_xyz
'x,y,z'
loop_
_atom_site_label
_atom_site_fract_x
_atom_site_fract_y
_atom_site_fract_z
Al1 0.0000 0.5000 0.0000
Ti1 0.5000 0.5000 0.5000
In1 0.0000 0.0000 0.5000
In2 0.5000 0.0000 0.0000
Rh1 0.0000 0.0000 0.0000

Entry 11:
# PBE Tm2Al2InRh5, relaxed
# Symmetry: P4/mbm
# Formation energy, meV per atom: -864.7
# DFT total energy, eV per cell: -129.14
# Mass density, g/cm³: 9.92
# Crystal system: tetragonal
data_Tm2Al2InRh5
_space_group_name_H-M_alt 'P 1'
_space_group_IT_number 1
_cell_length_a 3.4969
_cell_length_b 9.8870
_cell_length_c 9.8870
_cell_angle_alpha 90.00
_cell_angle_beta 90.00
_cell_angle_gamma 90.00
loop_
_space_group_symop_operation_xyz
'x,y,z'
loop_
_atom_site_label
_atom_site_fract_x
_atom_site_fract_y
_atom_site_fract_z
Rh1 0.5000 0.2903 0.5694
Rh2 0.5000 0.7903 0.9306
Rh3 0.5000 0.2097 0.0694
Rh4 0.5000 0.5000 0.0000
Rh5 0.5000 0.5694 0.7097
Rh6 0.5000 0.7097 0.4306
Rh7 0.5000 0.4306 0.2903
Rh8 0.5000 0.0000 0.5000
Rh9 0.5000 0.9306 0.2097
Rh10 0.5000 0.0694 0.7903
Tm1 0.0000 0.1753 0.3247
Tm2 0.0000 0.3247 0.8247
Tm3 0.0000 0.8247 0.6753
Tm4 0.0000 0.6753 0.1753
Al1 0.0000 0.6224 0.8776
Al2 0.0000 0.1224 0.6224
Al3 0.0000 0.3776 0.1224
Al4 0.0000 0.8776 0.3776
In1 0.0000 0.0000 0.0000
In2 0.0000 0.5000 0.5000

Entry 12:
# PBE AlIn2RhW, relaxed
# Symmetry: P4/mmm
# Formation energy, meV per atom: 899.6
# DFT total energy, eV per cell: -25.03
# Mass density, g/cm³: 7.04
# Crystal system: tetragonal
data_AlIn2RhW
_space_group_name_H-M_alt 'P 1'
_space_group_IT_number 1
_cell_length_a 5.1120
_cell_length_b 5.1120
_cell_length_c 4.9043
_cell_angle_alpha 90.00
_cell_angle_beta 90.00
_cell_angle_gamma 90.00
loop_
_space_group_symop_operation_xyz
'x,y,z'
loop_
_atom_site_label
_atom_site_fract_x
_atom_site_fract_y
_atom_site_fract_z
In1 0.5000 0.0000 0.0000
In2 0.0000 0.5000 0.0000
Rh1 0.0000 0.0000 0.0000
Al1 0.5000 0.5000 0.5000
W1 0.0000 0.0000 0.5000

Entry 13:
# PBE AlIn2RhW, relaxed
# Symmetry: P4/mmm
# Formation energy, meV per atom: 1215.1
# DFT total energy, eV per cell: -23.45
# Mass density, g/cm³: 6.94
# Crystal system: tetragonal
data_AlIn2RhW
_space_group_name_H-M_alt 'P 1'
_space_group_IT_number 1
_cell_length_a 5.1873
_cell_length_b 4.8294
_cell_length_c 5.1873
_cell_angle_alpha 90.00
_cell_angle_beta 90.00
_cell_angle_gamma 90.00
loop_
_space_group_symop_operation_xyz
'x,y,z'
loop_
_atom_site_label
_atom_site_fract_x
_atom_site_fract_y
_atom_site_fract_z
In1 0.0000 0.0000 0.5000
In2 0.5000 0.0000 0.0000
Rh1 0.5000 0.5000 0.5000
W1 0.0000 0.0000 0.0000
Al1 0.0000 0.5000 0.0000